# 1
Compound: BaTl3N
Source: Alexandria
Functional: PBE
Structure: optimized geometry

For the calculated volume, the calculation gives 276 Å³/cell. The total magnetic moment is 0.000 μB per atom. The value obtained for the raw formation energy is 1.81 eV/atom. The value obtained for the density of states at the Fermi level is 2.02 states/eV/atom. The energy relative to the lowest polymorph listed for this composition is 1342 meV per atom.

The space group is Pm-3m (No. 221) and the conventional cell measures 6.5127, 6.5127 and 6.5127 Å, with angles of 90.00, 90.00 and 90.00 degrees. Symmetry generates all atoms from Ba at (0.0000, 0.0000, 0.0000), Tl at (0.0000, 0.0000, 0.5000) and N at (0.5000, 0.5000, 0.5000).

# 2
Compound: Zn3MoOs
Source: Alexandria
Functional: PBE
Structure: optimized geometry

The value obtained for the formation energy is 1.243 eV/atom. For the calculated volume, the calculation gives 105 Å³/cell. The total magnetic moment is 0.794 μB per atom. The value obtained for the density of states at the Fermi level is 0.61 states/eV/atom. The energy relative to the lowest polymorph listed for this composition is 0 meV per atom.

The space group is Pm-3m (No. 221) and the conventional cell measures 4.7215, 4.7215 and 4.7215 Å, with angles of 90.00, 90.00 and 90.00 degrees. Symmetry generates all atoms from Zn at (0.0000, 0.0000, 0.5000), Mo at (0.5000, 0.5000, 0.5000) and Os at (0.0000, 0.0000, 0.0000).

# 3
Compound: BaCdAg
Source: Alexandria
Functional: PBE
Structure: optimized geometry

The value obtained for the formation energy is 0.108 eV/atom. For the calculated volume, the calculation gives 488 Å³/cell. The total magnetic moment is 0.000 μB per atom. The value obtained for the density of states at the Fermi level is 0.74 states/eV/atom.

The space group is F-43m (No. 216) and the conventional cell measures 7.8738, 7.8738 and 7.8738 Å, with angles of 90.00, 90.00 and 90.00 degrees. Symmetry generates all atoms from Ba at (0.0000, 0.0000, 0.0000), Cd at (0.2500, 0.2500, 0.2500) and Ag at (0.2500, 0.2500, 0.7500).

# 4
Compound: CdIn2PI
Source: Alexandria
Functional: PBE
Structure: optimized geometry

For the calculated volume, the calculation gives 188 Å³/cell. The total magnetic moment is 0.423 μB per atom. The value obtained for the raw formation energy is 0.68 eV/atom. The value obtained for the density of states at the Fermi level is 0.40 states/eV/atom.

The space group is P4/mmm (No. 123) and the conventional cell measures 5.6721, 5.6721 and 5.8550 Å, with angles of 90.00, 90.00 and 90.00 degrees. Symmetry generates all atoms from Cd at (0.0000, 0.0000, 0.0000), In at (0.0000, 0.5000, 0.0000), P at (0.5000, 0.5000, 0.5000) and I at (0.0000, 0.0000, 0.5000).

# 5
Compound: Dy2CdOsO8
Source: Alexandria
Functional: PBE
Structure: optimized geometry

For the calculated volume, the calculation gives 343 Å³/cell. The total magnetic moment is 0.000 μB per atom. The value obtained for the raw formation energy is -2.00 eV/atom.

The space group is Cmmm (No. 65) and the conventional cell measures 6.8324, 7.0998 and 7.0677 Å, with angles of 90.00, 90.00 and 90.00 degrees. Symmetry generates all atoms from Dy at (0.0000, 0.0000, 0.2436), Cd at (0.0000, 0.5000, 0.0000), Os at (0.0000, 0.5000, 0.5000), O at (0.0000, 0.3164, 0.3104), O at (0.1963, 0.0000, 0.0000) and O at (0.2230, 0.0000, 0.5000).

# 6
Compound: Ba3Ho2O6
Source: Alexandria
Functional: PBE
Structure: optimized geometry

For the calculated volume, the calculation gives 420 Å³/cell. The total magnetic moment is 0.000 μB per atom. The value obtained for the raw formation energy is -2.98 eV/atom. The value obtained for the density of states at the Fermi level is 0.00 states/eV/atom.

The space group is I4/mmm (No. 139) and the conventional cell measures 4.3943, 4.3943 and 21.7398 Å, with angles of 90.00, 90.00 and 90.00 degrees. Symmetry generates all atoms from Ba at (0.0000, 0.0000, 0.0000), Ba at (0.0000, 0.0000, 0.1825), Ho at (0.0000, 0.0000, 0.3983), O at (0.0000, 0.0000, 0.3012) and O at (0.0000, 0.5000, 0.0832).